No. 1
DFT (PBE-GGA) results for a relaxed structure of Nd2Sm12Sc.

## Properties
- Energy relative to the elements: 162 meV/atom
- Crystal system: orthorhombic

Unit cell a=7.1745 b=11.5036 c=24.8115 alpha=90.00 beta=90.00 gamma=90.00
Last column: nearest neighbours and their distance in Å.
Space group Cmme (No. 67)
Inequivalent atoms, fractional coordinates:
Nd 0.0000 0.2500 0.2294 [4 per cell]  2 Nd 3.59, 8 Sm 3.65-3.86
Nd 0.0000 0.2500 0.7635 [4 per cell]  2 Nd 3.59, 10 Sm 3.72-3.94
Sm 0.0000 0.0010 0.5724 [8 per cell]  2 Sc 3.38-3.40, 9 Sm 3.56-3.61
Sm 0.0000 0.0240 0.0602 [8 per cell]  5 Sm 3.04-3.37
Sm 0.2302 0.2500 0.9165 [8 per cell]  7 Sm 3.29-3.66
Sm 0.2485 0.2500 0.3777 [8 per cell]  8 Sm 3.41-3.61, 2 Sc 3.51-3.53
Sm 0.2500 0.0000 0.1746 [8 per cell]  3 Sm 3.20-3.37
Sm 0.2500 0.0000 0.3036 [8 per cell]  5 Sm 3.20-3.56
Sc 0.0000 0.2500 0.4998 [4 per cell]  8 Sm 3.38-3.53, 2 Sc 3.59

---

No. 2
DFT (PBE-GGA) results for a relaxed structure of PmSc2O4.

## Properties
- Raw formation energy: -3.236 eV/atom
- Crystal system: orthorhombic
- Excess energy over the best structure of this formula in the dataset: 0.000 eV/atom

Unit cell a=9.2421 b=9.2618 c=9.2760 alpha=90.00 beta=90.00 gamma=90.00
Last column: nearest neighbours and their distance in Å.
Space group Fddd (No. 70, origin choice 2)
Inequivalent atoms, fractional coordinates:
Pm 0.1250 0.1250 0.1250 [8 per cell]  4 O 2.24
Sc 0.0000 0.0000 0.5000 [16 per cell]  6 O 2.19
O 0.0141 0.0146 0.7348 [32 per cell]  3 Sc 2.19, 1 Pm 2.24

---

No. 3
DFT (PBE-GGA) results for a relaxed structure of ScSiCl4.

## Properties
- Raw formation energy: 0.375 eV/atom
- Crystal system: cubic

Unit cell a=8.1824 b=8.1824 c=8.1824 alpha=90.00 beta=90.00 gamma=90.00
Last column: nearest neighbours and their distance in Å.
Space group F-43m (No. 216)
Inequivalent atoms, fractional coordinates:
Sc 0.0000 0.0000 0.0000 [4 per cell]  12 Cl 3.39, 4 Si 3.54
Si 0.2500 0.2500 0.7500 [4 per cell]  12 Cl 3.39, 4 Sc 3.54
Cl 0.1256 0.1256 0.3744 [16 per cell]  6 Cl 2.88-2.91

---

No. 4
DFT (PBE-GGA) results for a relaxed structure of V2CuRe.

## Properties
- Energy relative to the elements: -10 meV/atom
- Crystal system: cubic
- Excess energy over the best structure of this formula in the dataset: 0.047 eV/atom

Unit cell a=6.0078 b=6.0078 c=6.0078 alpha=90.00 beta=90.00 gamma=90.00
Last column: nearest neighbours and their distance in Å.
Space group Fm-3m (No. 225)
Inequivalent atoms, fractional coordinates:
V 0.2500 0.2500 0.2500 [8 per cell]  4 Re 2.60, 4 Cu 2.60
Cu 0.0000 0.0000 0.0000 [4 per cell]  8 V 2.60
Re 0.0000 0.0000 0.5000 [4 per cell]  8 V 2.60

---

No. 5
DFT (PBE-GGA) results for a relaxed structure of PmTl2SbS4.

## Properties
- Raw formation energy: -0.863 eV/atom
- Crystal system: orthorhombic

Unit cell a=8.4763 b=8.4803 c=12.0034 alpha=90.00 beta=90.00 gamma=90.00
Last column: nearest neighbours and their distance in Å.
Space group Imma (No. 74)
Inequivalent atoms, fractional coordinates:
Pm 0.0000 0.0000 0.0000 [4 per cell]  6 S 2.84-2.85
Tl 0.0000 0.0000 0.5000 [4 per cell]  6 S 3.17-3.18
Tl 0.2500 0.2500 0.2500 [4 per cell]  6 S 3.19-3.22
Sb 0.2500 0.2500 0.7500 [4 per cell]  6 S 2.81-2.83
S 0.0000 0.0301 0.7632 [8 per cell]  2 Sb 2.83, 1 Pm 2.85
S 0.2222 0.2500 0.9829 [8 per cell]  1 Sb 2.81, 2 Pm 2.84

---

No. 6
DFT (PBE-GGA) results for a relaxed structure of PmYHoCd.

## Properties
- Energy relative to the elements: -33 meV/atom
- Crystal system: cubic
- Excess energy over the best structure of this formula in the dataset: 0.124 eV/atom

Unit cell a=7.7627 b=7.7627 c=7.7627 alpha=90.00 beta=90.00 gamma=90.00
Last column: nearest neighbours and their distance in Å.
Space group F-43m (No. 216)
Inequivalent atoms, fractional coordinates:
Pm 0.0000 0.0000 0.0000 [4 per cell]  4 Ho 3.36, 4 Cd 3.36
Y 0.0000 0.0000 0.5000 [4 per cell]  4 Cd 3.36, 4 Ho 3.36
Ho 0.2500 0.2500 0.2500 [4 per cell]  4 Pm 3.36, 4 Y 3.36
Cd 0.2500 0.2500 0.7500 [4 per cell]  4 Pm 3.36, 4 Y 3.36

---

No. 7
DFT (PBE-GGA) results for a relaxed structure of Sc3CoAu.

## Properties
- Energy relative to the elements: -449 meV/atom
- Crystal system: orthorhombic
- Excess energy over the best structure of this formula in the dataset: 0.000 eV/atom

Unit cell a=5.8400 b=8.9312 c=14.8308 alpha=90.00 beta=90.00 gamma=90.00
Last column: nearest neighbours and their distance in Å.
Space group Fmmm (No. 69)
Inequivalent atoms, fractional coordinates:
Sc 0.0000 0.0000 0.1957 [8 per cell]  4 Co 2.79, 2 Sc 3.06
Sc 0.0000 0.1884 0.3906 [16 per cell]  2 Co 2.60, 2 Au 2.83
Co 0.2500 0.2500 0.2500 [8 per cell]  8 Sc 2.60-2.79
Au 0.2261 0.0000 0.0000 [8 per cell]  1 Au 2.64, 4 Sc 2.83

---

No. 8
DFT (PBE-GGA) results for a relaxed structure of Te2SF.

## Properties
- Raw formation energy: -0.270 eV/atom
- Crystal system: trigonal
- Excess energy over the best structure of this formula in the dataset: 0.200 eV/atom

Unit cell a=3.4758 b=3.4758 c=25.7814 alpha=90.00 beta=90.00 gamma=120.00
Last column: nearest neighbours and their distance in Å.
Space group R-3m (No. 166, hexagonal axes)
Inequivalent atoms, fractional coordinates:
Te 0.0000 0.0000 0.0884 [6 per cell]  1 F 2.28
S 0.0000 0.0000 0.5000 [3 per cell]  6 Te 2.85
F 0.0000 0.0000 0.0000 [3 per cell]  2 Te 2.28

---

No. 9
DFT (PBE-GGA) results for a relaxed structure of Hf2Cr2W.

## Properties
- Energy relative to the elements: 187 meV/atom
- Crystal system: tetragonal

Unit cell a=6.2086 b=6.2086 c=4.4530 alpha=90.00 beta=90.00 gamma=90.00
Last column: nearest neighbours and their distance in Å.
Space group P4/mbm (No. 127)
Inequivalent atoms, fractional coordinates:
Hf 0.1789 0.3211 0.0000 [4 per cell]  6 Cr 2.82-2.93, 1 Hf 3.14
Cr 0.1239 0.6239 0.5000 [4 per cell]  1 Cr 2.18
W 0.0000 0.0000 0.5000 [2 per cell]  4 Cr 2.46

---

no.,total moment (Bohr magnetons per cell)
1,0.00
2,0.00
3,3.72
4,0.00
5,0.00
6,0.01
7,0.00
8,0.00
9,0.00